<a>
A geometry-optimized Ca2Ag3Sn structure. Source: the Alexandria database, functional PBE-GGA.

Unit cell a=6.015 b=6.015 c=9.728 alpha=113.24 beta=113.24 gamma=73.97
Positions (direct):
Ca 0.750 0.250 0.500
Ca 0.250 0.750 0.500
Ca 0.757 0.243 0.000
Ca 0.243 0.757 0.000
Ag 0.833 0.833 0.665
Ag 0.167 0.167 0.335
Ag 0.167 0.167 0.836
Ag 0.332 0.332 0.164
Ag 0.833 0.833 0.164
Ag 0.668 0.668 0.836
Sn 0.665 0.665 0.330
Sn 0.335 0.335 0.670

Properties
- crystal system = orthorhombic

---

<b>
A geometry-optimized Ca2Ag3Sn structure. Source: the Alexandria database, functional PBE-GGA.

Unit cell a=3.850 b=4.643 c=9.256 alpha=104.53 beta=102.01 gamma=90.00
Positions (direct):
Ca 0.127 0.127 0.254
Ca 0.872 0.372 0.744
Ag 0.304 0.804 0.608
Ag 0.540 0.540 0.080
Ag 0.695 0.695 0.390
Sn 0.462 0.962 0.923

Properties
- crystal system = orthorhombic

---

Quick one: least stable of them? <b>

---

<a>
A geometry-optimized CaAg4Sn2 structure. Source: the Alexandria database, functional PBE-GGA.

Unit cell a=4.657 b=8.206 c=8.206 alpha=90.00 beta=90.00 gamma=90.00
Positions (direct):
Sn 0.500 0.295 0.295
Sn 0.500 0.705 0.705
Sn 0.000 0.795 0.205
Sn 0.000 0.205 0.795
Ag 0.000 0.360 0.106
Ag 0.500 0.140 0.606
Ag 0.500 0.394 0.860
Ag 0.000 0.106 0.360
Ag 0.500 0.860 0.394
Ag 0.500 0.606 0.140
Ag 0.000 0.640 0.894
Ag 0.000 0.894 0.640
Ca 0.000 0.500 0.500
Ca 0.500 0.000 0.000

Properties
- crystal system = tetragonal

---

<b>
A geometry-optimized CaAg4Sn2 structure. Source: the Alexandria database, functional PBE-GGA.

Unit cell a=4.098 b=4.098 c=10.275 alpha=101.50 beta=101.50 gamma=90.00
Positions (direct):
Sn 0.382 0.382 0.765
Sn 0.618 0.618 0.235
Ag 0.750 0.250 0.500
Ag 0.852 0.852 0.703
Ag 0.148 0.148 0.297
Ag 0.250 0.750 0.500
Ca 0.000 0.000 0.000

Properties
- crystal system = tetragonal

---

Quick one: least stable of them? <b>

---

<a>
A geometry-optimized Ca2Ag2Sn3 structure. Source: the Alexandria database, functional PBE-GGA.

Unit cell a=4.514 b=6.076 c=7.681 alpha=111.21 beta=90.00 gamma=111.81
Positions (direct):
Sn 0.385 0.770 0.550
Sn 0.615 0.230 0.450
Sn 0.500 0.000 0.000
Ag 0.851 0.702 0.771
Ag 0.149 0.298 0.229
Ca 0.855 0.710 0.212
Ca 0.145 0.290 0.788

Properties
- crystal system = monoclinic

---

<b>
A geometry-optimized Ca2Ag2Sn3 structure. Source: the Alexandria database, functional PBE-GGA.

Unit cell a=4.692 b=7.588 c=10.518 alpha=90.00 beta=102.89 gamma=90.00
Positions (direct):
Ag 0.695 0.552 0.391
Ag 0.305 0.052 0.609
Ag 0.695 0.948 0.391
Ag 0.305 0.448 0.609
Sn 0.566 0.061 0.131
Sn 0.434 0.561 0.869
Sn 0.566 0.439 0.131
Sn 0.434 0.939 0.869
Sn 0.220 0.750 0.440
Sn 0.780 0.250 0.560
Ca 0.840 0.750 0.680
Ca 0.051 0.750 0.102
Ca 0.949 0.250 0.898
Ca 0.160 0.250 0.320

Properties
- crystal system = orthorhombic

---

Quick one: least stable of them? <a>

---

<a>
A geometry-optimized Ca3Ag2Sn structure. Source: the Alexandria database, functional PBE-GGA.

Unit cell a=3.716 b=3.716 c=11.491 alpha=90.00 beta=90.00 gamma=90.00
Positions (direct):
Ca 0.000 0.000 0.677
Ca 0.000 0.000 0.000
Ca 0.000 0.000 0.323
Sn 0.500 0.500 0.500
Ag 0.500 0.500 0.161
Ag 0.500 0.500 0.839

Properties
- crystal system = tetragonal

---

<b>
A geometry-optimized Ca3Ag2Sn structure. Source: the Alexandria database, functional PBE-GGA.

Unit cell a=5.298 b=5.298 c=13.043 alpha=90.00 beta=90.00 gamma=120.00
Positions (direct):
Sn 0.333 0.667 0.671
Sn 0.667 0.333 0.329
Ag 0.667 0.333 0.834
Ag 0.000 0.000 0.000
Ag 0.333 0.667 0.166
Ag 0.000 0.000 0.500
Ca 0.000 0.000 0.247
Ca 0.333 0.667 0.418
Ca 0.667 0.333 0.081
Ca 0.667 0.333 0.582
Ca 0.000 0.000 0.753
Ca 0.333 0.667 0.919

Properties
- crystal system = trigonal

---

Quick one: least stable of them? <a>

---

<a>
A geometry-optimized Ca2AgSn3 structure. Source: the Alexandria database, functional PBE-GGA.

Unit cell a=4.296 b=4.892 c=8.070 alpha=90.00 beta=90.00 gamma=90.00
Positions (direct):
Sn 0.500 0.000 0.183
Sn 0.500 0.000 0.835
Sn 0.500 0.500 0.656
Ag 0.500 0.500 0.321
Ca 0.000 0.000 0.504
Ca 0.000 0.500 0.000

Properties
- crystal system = orthorhombic

---

<b>
A geometry-optimized Ca2AgSn3 structure. Source: the Alexandria database, functional PBE-GGA.

Unit cell a=4.876 b=6.300 c=6.270 alpha=72.96 beta=67.12 gamma=67.23
Positions (direct):
Ca 0.446 0.801 0.306
Ca 0.548 0.196 0.708
Ag 0.166 0.393 0.275
Sn 0.859 0.596 0.686
Sn 0.157 0.793 0.894
Sn 0.823 0.222 0.132

Properties
- crystal system = monoclinic

---

Quick one: least stable of them? <a>

---

<a>
A geometry-optimized SrCa2Ag structure. Source: the Alexandria database, functional PBE-GGA.

Unit cell a=6.778 b=6.778 c=6.778 alpha=137.01 beta=137.01 gamma=62.42
Positions (direct):
Sr 0.250 0.750 0.500
Ca 0.000 0.000 0.000
Ca 0.500 0.500 0.000
Ag 0.750 0.250 0.500

Properties
- crystal system = tetragonal

---

<b>
A geometry-optimized SrCa2Ag structure. Source: the Alexandria database, functional PBE-GGA.

Unit cell a=9.572 b=9.572 c=7.583 alpha=50.87 beta=50.87 gamma=90.00
Positions (direct):
Sr 0.250 0.750 0.500
Sr 0.500 0.500 0.000
Ag 0.000 0.000 0.000
Ag 0.750 0.250 0.500
Ca 0.875 0.957 0.750
Ca 0.043 0.625 0.250
Ca 0.707 0.125 0.250
Ca 0.375 0.293 0.750

Properties
- crystal system = tetragonal

---

<c>
A geometry-optimized SrCa2Ag structure. Source: the Alexandria database, functional PBE-GGA.

Unit cell a=4.561 b=6.877 c=9.900 alpha=90.00 beta=90.00 gamma=109.22
Positions (direct):
Ag 0.760 0.519 0.750
Ag 0.240 0.481 0.250
Ca 0.352 0.704 0.560
Ca 0.648 0.296 0.060
Ca 0.352 0.704 0.940
Ca 0.648 0.296 0.440
Sr 0.063 0.127 0.750
Sr 0.937 0.873 0.250

Properties
- crystal system = monoclinic

---

<d>
A geometry-optimized SrCa2Ag structure. Source: the Alexandria database, functional PBE-GGA.

Unit cell a=5.830 b=5.830 c=5.830 alpha=60.00 beta=60.00 gamma=60.00
Positions (direct):
Ca 0.250 0.250 0.250
Ca 0.000 0.000 0.000
Sr 0.750 0.750 0.750
Ag 0.500 0.500 0.500

Properties
- crystal system = cubic

---

Quick one: least stable of them? <d>